1.
# HfCuReOs

HfCuReOs after structural relaxation (GGA-PBE, Alexandria).

Values from the calculation:
Size of the total moment in μB per formula unit: 0.0
Uncorrected energy in eV/cell: -37.74
Calculated formation energy in eV per atom: -0.002
ΔE to the lowest computed polymorph in meV per atom: 31
Crystal system: monoclinic

Lattice parameters (Å, degrees): 4.6695 2.9230 4.7207 90.00 106.69 90.00
Last column: nearest neighbours and their distance in Å.
Positions (direct):
Hf  0.0000  0.0000  0.0000  4 Os 2.75, 4 Cu 2.78, 2 Re 2.80, 2 Hf 2.92
Cu  0.0000  0.5000  0.5000  4 Re 2.75, 4 Hf 2.78, 2 Os 2.80, 2 Cu 2.92
Re  0.5000  0.0000  0.5000  4 Cu 2.75, 4 Os 2.78, 2 Hf 2.80, 2 Re 2.92
Os  0.5000  0.5000  0.0000  4 Hf 2.75, 4 Re 2.78, 2 Cu 2.80, 2 Os 2.92

=====

2.
# HfCuReOs

HfCuReOs after structural relaxation (GGA-PBE, Alexandria).

Values from the calculation:
Size of the total moment in μB per formula unit: 0.0
Uncorrected energy in eV/cell: -37.84
Calculated formation energy in eV per atom: -0.027
ΔE to the lowest computed polymorph in meV per atom: 6
Crystal system: monoclinic

Lattice parameters (Å, degrees): 2.8618 4.3353 5.1164 90.00 101.30 90.00
Last column: nearest neighbours and their distance in Å.
Positions (direct):
Hf  0.0000  0.0000  0.0000  3 Os 2.65-2.96, 4 Cu 2.75-2.77, 2 Hf 2.86, 2 Re 2.94
Cu  0.4412  0.5000  0.8118  2 Os 2.65, 3 Re 2.71-2.75, 4 Hf 2.75-2.77, 2 Cu 2.86
Re  0.7764  0.5000  0.3449  4 Os 2.63-2.84, 3 Cu 2.71-2.75, 2 Re 2.86
Os  0.4075  0.0000  0.5114  4 Re 2.63-2.84, 2 Hf 2.65-2.73, 2 Cu 2.65, 2 Os 2.86

=====

3.
# HfCuReOs

HfCuReOs after structural relaxation (GGA-PBE, Alexandria).

Values from the calculation:
Size of the total moment in μB per formula unit: 0.0
Uncorrected energy in eV/cell: -37.49
Calculated formation energy in eV per atom: 0.060
ΔE to the lowest computed polymorph in meV per atom: 93
Crystal system: monoclinic

Lattice parameters (Å, degrees): 4.7936 4.7936 4.7283 102.69 102.69 36.29
Last column: nearest neighbours and their distance in Å.
Positions (direct):
Hf  0.0000  0.0000  0.0000  3 Os 2.79-2.81, 4 Cu 2.79-2.80, 3 Re 2.83-2.87, 2 Hf 2.99
Cu  0.5028  0.5028  0.4998  3 Re 2.66-2.75, 3 Os 2.68-2.84, 4 Hf 2.79-2.80
Re  0.7606  0.7606  0.2908  2 Os 2.62, 3 Cu 2.66-2.75, 3 Hf 2.83-2.87
Os  0.2440  0.2440  0.7370  2 Re 2.62, 3 Cu 2.68-2.84, 3 Hf 2.79-2.81

=====

4.
# HfCuReOs

HfCuReOs after structural relaxation (GGA-PBE, Alexandria).

Values from the calculation:
Size of the total moment in μB per formula unit: 0.0
Uncorrected energy in eV/cell: -37.57
Calculated formation energy in eV per atom: 0.038
ΔE to the lowest computed polymorph in meV per atom: 71
Crystal system: monoclinic

Lattice parameters (Å, degrees): 4.8744 4.8744 4.6871 102.15 102.15 35.16
Last column: nearest neighbours and their distance in Å.
Positions (direct):
Hf  0.0000  0.0000  0.0000  3 Cu 2.70-2.79, 4 Os 2.76-2.77, 3 Re 2.91-2.94, 2 Hf 2.94
Cu  0.2447  0.2447  0.7793  4 Re 2.68-2.86, 3 Hf 2.70-2.79, 3 Os 2.76-2.98, 2 Cu 2.94
Re  0.7615  0.7615  0.3099  3 Os 2.66-2.74, 4 Cu 2.68-2.86, 3 Hf 2.91-2.94, 2 Re 2.94
Os  0.5027  0.5027  0.4995  3 Re 2.66-2.74, 4 Hf 2.76-2.77, 3 Cu 2.76-2.98, 2 Os 2.94

=====

5.
# HfCuReOs

HfCuReOs after structural relaxation (GGA-PBE, Alexandria).

Values from the calculation:
Size of the total moment in μB per formula unit: 0.0
Uncorrected energy in eV/cell: -37.83
Calculated formation energy in eV per atom: -0.026
ΔE to the lowest computed polymorph in meV per atom: 7
Crystal system: orthorhombic

Lattice parameters (Å, degrees): 2.9242 4.4921 4.6923 90.00 90.00 90.00
Last column: nearest neighbours and their distance in Å.
Positions (direct):
Hf  0.0000  0.0000  0.0000  4 Os 2.72-2.81, 4 Cu 2.76, 2 Re 2.87, 2 Hf 2.92
Cu  0.5000  0.5000  0.1374  4 Re 2.69-2.84, 4 Hf 2.76, 2 Os 2.78, 2 Cu 2.92
Re  0.0000  0.5000  0.6190  4 Cu 2.69-2.84, 4 Os 2.75, 2 Hf 2.87, 2 Re 2.92
Os  0.5000  0.0000  0.4878  4 Hf 2.72-2.81, 4 Re 2.75, 2 Cu 2.78, 2 Os 2.92

=====

6.
# HfCuOs2Rh

HfCuOs2Rh after structural relaxation (GGA-PBE, Alexandria).

Values from the calculation:
Size of the total moment in μB per formula unit: 1.0
Uncorrected energy in eV/cell: -33.12
Calculated formation energy in eV per atom: 2.147
Crystal system: tetragonal

Lattice parameters (Å, degrees): 4.7351 4.7351 4.6107 90.00 90.00 90.00
Last column: nearest neighbours and their distance in Å.
Positions (direct):
Hf  0.0000  0.0000  0.0000  2 Cu 2.31, 4 Os 2.37
Cu  0.0000  0.0000  0.5000  2 Hf 2.31
Os  0.0000  0.5000  0.0000  2 Hf 2.37
Os  0.5000  0.0000  0.0000  2 Hf 2.37
Rh  0.5000  0.5000  0.5000  8 Os 3.30, 4 Cu 3.35

=====

7.
# HfScCuOs

HfScCuOs after structural relaxation (GGA-PBE, Alexandria).

Values from the calculation:
Size of the total moment in μB per formula unit: 0.0
Uncorrected energy in eV/cell: -33.35
Calculated formation energy in eV per atom: -0.434
Crystal system: cubic

Lattice parameters (Å, degrees): 4.5878 4.5878 4.5878 60.00 60.00 60.00
Last column: nearest neighbours and their distance in Å.
Positions (direct):
Hf  0.0000  0.0000  0.0000  4 Os 2.81, 4 Cu 2.81
Sc  0.5000  0.5000  0.5000  4 Os 2.81, 4 Cu 2.81
Cu  0.7500  0.7500  0.7500  4 Hf 2.81, 4 Sc 2.81
Os  0.2500  0.2500  0.2500  4 Hf 2.81, 4 Sc 2.81

=====

8.
# SmHfCuOs

SmHfCuOs after structural relaxation (GGA-PBE, Alexandria).

Values from the calculation:
Size of the total moment in μB per formula unit: 0.0
Uncorrected energy in eV/cell: -30.67
Calculated formation energy in eV per atom: -0.168
Crystal system: cubic

Lattice parameters (Å, degrees): 4.7761 4.7761 4.7761 60.00 60.00 60.00
Last column: nearest neighbours and their distance in Å.
Positions (direct):
Sm  0.0000  0.0000  0.0000  4 Os 2.92, 4 Cu 2.92
Hf  0.5000  0.5000  0.5000  4 Os 2.92, 4 Cu 2.92
Cu  0.2500  0.2500  0.2500  4 Hf 2.92, 4 Sm 2.92
Os  0.7500  0.7500  0.7500  4 Hf 2.92, 4 Sm 2.92

=====

9.
# HfTaCuOs

HfTaCuOs after structural relaxation (GGA-PBE, Alexandria).

Values from the calculation:
Size of the total moment in μB per formula unit: 0.0
Uncorrected energy in eV/cell: -38.07
Calculated formation energy in eV per atom: -0.234
Crystal system: cubic

Lattice parameters (Å, degrees): 4.5397 4.5397 4.5397 60.00 60.00 60.00
Last column: nearest neighbours and their distance in Å.
Positions (direct):
Hf  0.0000  0.0000  0.0000  4 Os 2.78, 4 Cu 2.78
Ta  0.5000  0.5000  0.5000  4 Os 2.78, 4 Cu 2.78
Cu  0.2500  0.2500  0.2500  4 Hf 2.78, 4 Ta 2.78
Os  0.7500  0.7500  0.7500  4 Hf 2.78, 4 Ta 2.78

=====

10.
# TbHfCuOs

TbHfCuOs after structural relaxation (GGA-PBE, Alexandria).

Values from the calculation:
Size of the total moment in μB per formula unit: 0.0
Uncorrected energy in eV/cell: -30.96
Calculated formation energy in eV per atom: -0.262
Crystal system: cubic

Lattice parameters (Å, degrees): 4.7336 4.7336 4.7336 60.00 60.00 60.00
Last column: nearest neighbours and their distance in Å.
Positions (direct):
Tb  0.0000  0.0000  0.0000  4 Os 2.90, 4 Cu 2.90
Hf  0.5000  0.5000  0.5000  4 Cu 2.90, 4 Os 2.90
Cu  0.7500  0.7500  0.7500  4 Tb 2.90, 4 Hf 2.90
Os  0.2500  0.2500  0.2500  4 Hf 2.90, 4 Tb 2.90

=====

11.
# HfThCuOs

HfThCuOs after structural relaxation (GGA-PBE, Alexandria).

Values from the calculation:
Size of the total moment in μB per formula unit: 0.0
Uncorrected energy in eV/cell: -33.32
Calculated formation energy in eV per atom: -0.156
Crystal system: cubic

Lattice parameters (Å, degrees): 4.8458 4.8458 4.8458 60.00 60.00 60.00
Last column: nearest neighbours and their distance in Å.
Positions (direct):
Hf  0.0000  0.0000  0.0000  4 Os 2.97, 4 Cu 2.97
Th  0.5000  0.5000  0.5000  4 Os 2.97, 4 Cu 2.97
Cu  0.7500  0.7500  0.7500  4 Hf 2.97, 4 Th 2.97
Os  0.2500  0.2500  0.2500  4 Hf 2.97, 4 Th 2.97

=====

12.
# HfTl2CuOs

HfTl2CuOs after structural relaxation (GGA-PBE, Alexandria).

Values from the calculation:
Size of the total moment in μB per formula unit: 0.3
Uncorrected energy in eV/cell: -22.72
Calculated formation energy in eV per atom: 1.458
Crystal system: tetragonal

Lattice parameters (Å, degrees): 5.6733 5.6733 4.8131 90.00 90.00 90.00
Last column: nearest neighbours and their distance in Å.
Positions (direct):
Hf  0.0000  0.0000  0.0000  2 Os 2.41
Tl  0.0000  0.5000  0.0000  2 Hf 2.84
Tl  0.5000  0.0000  0.0000  2 Hf 2.84
Cu  0.5000  0.5000  0.5000  8 Tl 3.72, 4 Os 4.01
Os  0.0000  0.0000  0.5000  2 Hf 2.41

=====

13.
# TmHfCuOs

TmHfCuOs after structural relaxation (GGA-PBE, Alexandria).

Values from the calculation:
Size of the total moment in μB per formula unit: 0.0
Uncorrected energy in eV/cell: -31.15
Calculated formation energy in eV per atom: -0.349
Crystal system: cubic

Lattice parameters (Å, degrees): 4.6900 4.6900 4.6900 60.00 60.00 60.00
Last column: nearest neighbours and their distance in Å.
Positions (direct):
Tm  0.0000  0.0000  0.0000  4 Os 2.87, 4 Cu 2.87
Hf  0.5000  0.5000  0.5000  4 Os 2.87, 4 Cu 2.87
Cu  0.2500  0.2500  0.2500  4 Hf 2.87, 4 Tm 2.87
Os  0.7500  0.7500  0.7500  4 Tm 2.87, 4 Hf 2.87